No. 1
Density functional theory data (PBE) for an optimized crystal structure of TlZnAsSe2.

Calculated values
energy = -2.80 eV per atom
V = 25.82 Å³ per atom
energy relative to the elements, uncorrected = 0.249 eV/atom

a b c (Å): 5.1877 5.1877 4.7977
angles (deg): 90.00 90.00 90.00
Fractional positions:
Zn 0.0000 0.0000 0.0000
Se 0.5000 0.0000 0.0000
Se 0.0000 0.5000 0.0000
Tl 0.5000 0.5000 0.5000
As 0.0000 0.0000 0.5000

=====

No. 2
Density functional theory data (PBE) for an optimized crystal structure of BeHAu.

Calculated values
energy = -3.42 eV per atom
V = 12.34 Å³ per atom

a b c (Å): 4.2411 5.1704 7.9734
angles (deg): 90.00 122.13 90.00
Fractional positions:
Be 0.5000 0.8422 0.5000
Be 0.0000 0.8424 0.5000
Be 0.0000 0.3424 0.0000
Be 0.5000 0.3422 0.0000
Au 0.0861 0.6946 0.8361
Au 0.9139 0.6946 0.1639
Au 0.0861 0.1946 0.3361
Au 0.9139 0.1946 0.6639
H 0.3561 0.7012 0.6062
H 0.6439 0.7012 0.3938
H 0.3561 0.2012 0.1062
H 0.6439 0.2012 0.8938

=====

No. 3
Density functional theory data (PBE) for an optimized crystal structure of Sc2GaGe4.

Calculated values
energy = -4.73 eV per atom
V = 23.37 Å³ per atom
energy of formation from the pure elements = 147 meV per atom

a b c (Å): 4.9548 4.9548 7.5281
angles (deg): 70.79 70.79 90.00
Fractional positions:
Sc 0.3867 0.3867 0.2265
Sc 0.6133 0.6133 0.7735
Ge 0.0000 0.5000 0.0000
Ge 0.5000 0.0000 0.0000
Ge 0.1809 0.1809 0.6381
Ge 0.8191 0.8191 0.3619
Ga 0.0000 0.0000 0.0000

=====

No. 4
Density functional theory data (PBE) for an optimized crystal structure of InAsAu2.

Calculated values
energy = -3.34 eV per atom
V = 20.03 Å³ per atom
energy of formation from the pure elements = 148 meV per atom

a b c (Å): 4.8393 4.8393 4.8393
angles (deg): 60.00 60.00 60.00
Fractional positions:
In 0.2500 0.2500 0.2500
Au 0.0000 0.0000 0.0000
Au 0.7500 0.7500 0.7500
As 0.5000 0.5000 0.5000

=====

No. 5
Density functional theory data (PBE) for an optimized crystal structure of KYCo4.

Calculated values
energy = -5.58 eV per atom
V = 16.13 Å³ per atom
energy of formation from the pure elements = 421 meV per atom

a b c (Å): 5.1536 5.1536 5.1536
angles (deg): 60.00 60.00 60.00
Fractional positions:
Co 0.8795 0.3735 0.3735
Co 0.3735 0.3735 0.8795
Co 0.3735 0.8795 0.3735
Co 0.3735 0.3735 0.3735
K 0.7500 0.7500 0.7500
Y 0.0000 0.0000 0.0000